Entry 1:
Computed, not measured: an optimized crystal structure of UPaGe2 at the PBE level of DFT.

a b c (Å): 10.097 10.097 10.097
angles (deg): 17.89 17.89 17.89
Fractional coordinates of all 4 atoms:
U  0.000  0.000  0.000
Pa  0.500  0.500  0.500
Ge  0.250  0.250  0.250
Ge  0.750  0.750  0.750

* DFT formation energy: -0.105 eV per atom
* final energy: -7.610 eV/atom
* space group: No. 166
* theoretical density: 12028 kg/m³
* total magnetic moment: 1.65 μB/f.u.

---

Entry 2:
Computed, not measured: an optimized crystal structure of UPaGe at the PBE level of DFT.

a b c (Å): 4.970 4.970 6.080
angles (deg): 90.00 90.00 120.00
Fractional coordinates of all 6 atoms:
U  0.333  0.667  0.250
U  0.667  0.333  0.750
Pa  0.000  0.000  0.000
Pa  0.000  0.000  0.500
Ge  0.333  0.667  0.750
Ge  0.667  0.333  0.250

* DFT formation energy: -0.147 eV per atom
* final energy: -8.614 eV/atom
* space group: No. 194
* theoretical density: 13833 kg/m³
* total magnetic moment: 1.70 μB/f.u.

---

Entry 3:
Computed, not measured: an optimized crystal structure of UPaGe at the PBE level of DFT.

a b c (Å): 4.971 4.971 2.981
angles (deg): 90.00 90.00 120.00
Fractional coordinates of all 3 atoms:
U  0.000  0.000  0.000
Pa  0.667  0.333  0.544
Ge  0.333  0.667  0.242

* DFT formation energy: 0.005 eV per atom
* final energy: -8.462 eV/atom
* space group: No. 156
* theoretical density: 14100 kg/m³
* total magnetic moment: 1.34 μB/f.u.

---

Entry 4:
Computed, not measured: an optimized crystal structure of UPaGe at the PBE level of DFT.

a b c (Å): 8.241 8.241 8.241
angles (deg): 150.67 150.67 41.96
Fractional coordinates of all 6 atoms:
U  0.000  0.500  0.500
U  0.500  0.000  0.500
Pa  0.166  0.166  0.000
Pa  0.834  0.834  0.000
Ge  0.359  0.359  0.000
Ge  0.641  0.641  0.000

* DFT formation energy: -0.246 eV per atom
* final energy: -8.713 eV/atom
* space group: No. 139
* theoretical density: 13428 kg/m³
* total magnetic moment: 0.00 μB/f.u.

---

Entry 5:
Computed, not measured: an optimized crystal structure of UPaGe at the PBE level of DFT.

a b c (Å): 5.043 5.043 5.966
angles (deg): 90.00 90.00 120.00
Fractional coordinates of all 6 atoms:
U  0.000  0.000  0.000
U  0.000  0.000  0.500
Pa  0.333  0.667  0.250
Pa  0.667  0.333  0.750
Ge  0.333  0.667  0.750
Ge  0.667  0.333  0.250

* DFT formation energy: -0.156 eV per atom
* final energy: -8.623 eV/atom
* space group: No. 194
* theoretical density: 13699 kg/m³
* total magnetic moment: 2.14 μB/f.u.

---

Entry 6:
Computed, not measured: an optimized crystal structure of UPaVGe at the PBE level of DFT.

a b c (Å): 4.762 4.762 4.762
angles (deg): 60.00 60.00 60.00
Fractional coordinates of all 4 atoms:
U  0.000  0.000  0.000
Pa  0.750  0.750  0.750
V  0.250  0.250  0.250
Ge  0.500  0.500  0.500

* DFT formation energy: 0.162 eV per atom
* final energy: -8.468 eV/atom
* space group: No. 216
* theoretical density: 12887 kg/m³
* total magnetic moment: 2.13 μB/f.u.

---

Entry 7:
Computed, not measured: an optimized crystal structure of PaVGe2 at the PBE level of DFT.

a b c (Å): 7.707 7.707 7.707
angles (deg): 33.66 33.66 33.66
Fractional coordinates of all 4 atoms:
Pa  0.000  0.000  0.000
V  0.500  0.500  0.500
Ge  0.388  0.388  0.388
Ge  0.612  0.612  0.612

* DFT formation energy: 0.888 eV per atom
* final energy: -6.075 eV/atom
* space group: No. 166
* theoretical density: 5661 kg/m³
* total magnetic moment: 2.13 μB/f.u.

---

Entry 8:
Computed, not measured: an optimized crystal structure of PaVGe2 at the PBE level of DFT.

a b c (Å): 5.485 5.485 7.863
angles (deg): 90.00 90.00 141.47
Fractional coordinates of all 8 atoms:
Pa  0.055  0.945  0.750
Pa  0.945  0.055  0.250
V  0.213  0.787  0.250
V  0.787  0.213  0.750
Ge  0.360  0.640  0.537
Ge  0.360  0.640  0.963
Ge  0.640  0.360  0.037
Ge  0.640  0.360  0.463

* DFT formation energy: -0.274 eV per atom
* final energy: -7.236 eV/atom
* space group: No. 63
* theoretical density: 9627 kg/m³
* total magnetic moment: 0.00 μB/f.u.

---

Entry 9:
Computed, not measured: an optimized crystal structure of PaVGe2 at the PBE level of DFT.

a b c (Å): 4.241 4.241 4.202
angles (deg): 90.00 90.00 90.00
Fractional coordinates of all 4 atoms:
Pa  0.000  0.000  0.000
V  0.500  0.500  0.000
Ge  0.000  0.500  0.500
Ge  0.500  0.000  0.500

* DFT formation energy: -0.146 eV per atom
* final energy: -7.108 eV/atom
* space group: No. 123
* theoretical density: 9388 kg/m³
* total magnetic moment: 2.49 μB/f.u.

---

Entry 10:
Computed, not measured: an optimized crystal structure of Pa2VGe at the PBE level of DFT.

a b c (Å): 10.441 10.441 10.441
angles (deg): 16.80 16.80 16.80
Fractional coordinates of all 4 atoms:
Pa  0.083  0.083  0.083
Pa  0.917  0.917  0.917
V  0.000  0.000  0.000
Ge  0.500  0.500  0.500

* DFT formation energy: 0.275 eV per atom
* final energy: -7.907 eV/atom
* space group: No. 166
* theoretical density: 11720 kg/m³
* total magnetic moment: 0.00 μB/f.u.

---

Entry 11:
Computed, not measured: an optimized crystal structure of PaVGe2 at the PBE level of DFT.

a b c (Å): 3.396 3.396 6.245
angles (deg): 90.00 90.00 90.00
Fractional coordinates of all 4 atoms:
Pa  0.000  0.000  0.000
V  0.000  0.000  0.500
Ge  0.500  0.500  0.296
Ge  0.500  0.500  0.704

* DFT formation energy: -0.200 eV per atom
* final energy: -7.162 eV/atom
* space group: No. 123
* theoretical density: 9849 kg/m³
* total magnetic moment: 0.00 μB/f.u.

---

Entry 12:
Computed, not measured: an optimized crystal structure of PaV2Ge2 at the PBE level of DFT.

a b c (Å): 6.566 6.566 5.465
angles (deg): 110.03 110.03 104.64
Fractional coordinates of all 10 atoms:
Pa  0.098  0.902  0.750
Pa  0.902  0.098  0.250
V  0.248  0.427  0.019
V  0.427  0.248  0.519
V  0.573  0.752  0.481
V  0.752  0.573  0.981
Ge  0.194  0.806  0.250
Ge  0.375  0.625  0.750
Ge  0.625  0.375  0.250
Ge  0.806  0.194  0.750

* DFT formation energy: -0.003 eV per atom
* final energy: -7.397 eV/atom
* space group: No. 15
* theoretical density: 8412 kg/m³
* total magnetic moment: 0.00 μB/f.u.